# Sr2In2Rh PBE optimized geometry
data_Sr2In2Rh
_space_group_name_H-M_alt 'P 4/m b m'
_space_group_IT_number 127
_space_group_name_Hall '-P 4 2ab'
_cell_length_a 7.351
_cell_length_b 7.351
_cell_length_c 5.330
_cell_angle_alpha 90.00
_cell_angle_beta 90.00
_cell_angle_gamma 90.00
loop_
_atom_site_label
_atom_site_type_symbol
_atom_site_fract_x
_atom_site_fract_y
_atom_site_fract_z
Sr1 Sr 0.179 0.321 0.000
In1 In 0.143 0.643 0.500
Rh1 Rh 0.000 0.000 0.500
# Excess energy over the best structure of this formula in the dataset ... 213.5 meV per atom
# DFT total energy ... -34.76 eV for the cell shown
# ΔE_f ... -115 kJ/mol of formula units
# Spin magnetization ... 0.00 μB/f.u.

# Ag2HgSe PBE optimized geometry
data_Ag2HgSe
_space_group_name_H-M_alt 'P m m m'
_space_group_IT_number 47
_space_group_name_Hall '-P 2 2'
_cell_length_a 3.012
_cell_length_b 4.250
_cell_length_c 6.634
_cell_angle_alpha 90.00
_cell_angle_beta 90.00
_cell_angle_gamma 90.00
loop_
_atom_site_label
_atom_site_type_symbol
_atom_site_fract_x
_atom_site_fract_y
_atom_site_fract_z
Ag1 Ag 0.000 0.000 0.227
Hg1 Hg 0.500 0.500 0.000
Se1 Se 0.000 0.500 0.500
# Excess energy over the best structure of this formula in the dataset ... 62.1 meV per atom
# DFT total energy ... -9.25 eV for the cell shown
# Spin magnetization ... 0.00 μB/f.u.
# E_form (uncorrected) ... 0.06 eV/atom

# Cs2CeMg2Se4 PBE optimized geometry
data_Cs2CeMg2Se4
_space_group_name_H-M_alt 'C 1 2/m 1'
_space_group_IT_number 12
_space_group_name_Hall '-C 2y'
_cell_length_a 16.590
_cell_length_b 4.330
_cell_length_c 8.663
_cell_angle_alpha 90.00
_cell_angle_beta 108.09
_cell_angle_gamma 90.00
loop_
_atom_site_label
_atom_site_type_symbol
_atom_site_fract_x
_atom_site_fract_y
_atom_site_fract_z
Cs1 Cs 0.127 0.000 0.040
Ce1 Ce 0.000 0.000 0.500
Mg1 Mg 0.171 0.500 0.477
Se1 Se 0.024 0.500 0.267
Se2 Se 0.203 0.000 0.657
# DFT total energy ... -73.07 eV for the cell shown
# Spin magnetization ... 1.95 μB/f.u.
# E_form (uncorrected) ... -1.31 eV/atom

# KTc PBE optimized geometry
data_KTc
_space_group_name_H-M_alt 'P m -3 n'
_space_group_IT_number 223
_space_group_name_Hall '-P 4n 2 3'
_cell_length_a 10.083
_cell_length_b 10.083
_cell_length_c 10.083
_cell_angle_alpha 90.00
_cell_angle_beta 90.00
_cell_angle_gamma 90.00
loop_
_atom_site_label
_atom_site_type_symbol
_atom_site_fract_x
_atom_site_fract_y
_atom_site_fract_z
K1 K 0.000 0.250 0.500
Tc1 Tc 0.000 0.500 0.250
# Excess energy over the best structure of this formula in the dataset ... 2073.4 meV per atom
# DFT total energy ... -34.82 eV for the cell shown
# ΔE_f ... 546 kJ/mol of formula units
# Spin magnetization ... 4.00 μB/f.u.

# PaTiRu2 PBE optimized geometry
data_PaTiRu2
_space_group_name_H-M_alt 'P 4/m m m'
_space_group_IT_number 123
_space_group_name_Hall '-P 4 2'
_cell_length_a 4.500
_cell_length_b 4.500
_cell_length_c 3.460
_cell_angle_alpha 90.00
_cell_angle_beta 90.00
_cell_angle_gamma 90.00
loop_
_atom_site_label
_atom_site_type_symbol
_atom_site_fract_x
_atom_site_fract_y
_atom_site_fract_z
Pa1 Pa 0.000 0.000 0.000
Ti1 Ti 0.500 0.500 0.000
Ru1 Ru 0.000 0.500 0.500
# Excess energy over the best structure of this formula in the dataset ... 31.4 meV per atom
# DFT total energy ... -37.81 eV for the cell shown
# ΔE_f ... -180 kJ/mol of formula units
# Spin magnetization ... 0.42 μB/f.u.

# LiNdTmOs PBE optimized geometry
data_LiNdTmOs
_space_group_name_H-M_alt 'F -4 3 m'
_space_group_IT_number 216
_space_group_name_Hall 'F -4 2 3'
_cell_length_a 6.996
_cell_length_b 6.996
_cell_length_c 6.996
_cell_angle_alpha 90.00
_cell_angle_beta 90.00
_cell_angle_gamma 90.00
loop_
_atom_site_label
_atom_site_type_symbol
_atom_site_fract_x
_atom_site_fract_y
_atom_site_fract_z
Li1 Li 0.000 0.000 0.000
Nd1 Nd 0.250 0.250 0.250
Tm1 Tm 0.250 0.250 0.750
Os1 Os 0.000 0.000 0.500
# DFT total energy ... -92.24 eV for the cell shown
# ΔE_f ... -65 kJ/mol of formula units
# Spin magnetization ... 0.00 μB/f.u.

# Sr3TmPa2N6 PBE optimized geometry
data_Sr3TmPa2N6
_space_group_name_H-M_alt 'C 1 2/m 1'
_space_group_IT_number 12
_space_group_name_Hall '-C 2y'
_cell_length_a 6.200
_cell_length_b 10.735
_cell_length_c 6.352
_cell_angle_alpha 90.00
_cell_angle_beta 108.96
_cell_angle_gamma 90.00
loop_
_atom_site_label
_atom_site_type_symbol
_atom_site_fract_x
_atom_site_fract_y
_atom_site_fract_z
Sr1 Sr 0.000 0.000 0.000
Sr2 Sr 0.000 0.336 0.000
Tm1 Tm 0.000 0.500 0.500
Pa1 Pa 0.000 0.167 0.500
N1 N 0.221 0.000 0.699
N2 N 0.239 0.327 0.699
# DFT total energy ... -190.46 eV for the cell shown
# Spin magnetization ... 0.00 μB/f.u.
# E_form (uncorrected) ... -1.40 eV/atom

# CrAgW PBE optimized geometry
data_CrAgW
_space_group_name_H-M_alt 'P 3 m 1'
_space_group_IT_number 156
_space_group_name_Hall 'P 3 -2"'
_cell_length_a 2.7233
_cell_length_b 2.7233
_cell_length_c 7.1925
_cell_angle_alpha 90.00
_cell_angle_beta 90.00
_cell_angle_gamma 120.00
loop_
_atom_site_label
_atom_site_type_symbol
_atom_site_fract_x
_atom_site_fract_y
_atom_site_fract_z
Cr1 Cr 0.0000 0.0000 0.0000
Ag1 Ag 0.6667 0.3333 0.6726
W1 W 0.3333 0.6667 0.3169
# Excess energy over the best structure of this formula in the dataset ... 133.5 meV per atom
# DFT total energy ... -23.55 eV for the cell shown
# ΔE_f ... 181 kJ/mol of formula units
# Spin magnetization ... 0.00 μB/f.u.